Record 1
A relaxed ZnNiSe2N crystal. Source: Alexandria via LeMat-Bulk, functional PBE.

Unit cell a=5.041 b=5.041 c=3.630 alpha=90.00 beta=90.00 gamma=90.00
Last column: magnetic moment on the atom in μB.
Fractional positions:
Ni1 0.500 0.500 0.500  0.66
Zn1 0.000 0.000 0.000  0.06
Se1 0.000 0.500 0.000  0.20
Se2 0.500 0.000 0.000  0.20
N1 0.000 0.000 0.500  1.00

space group = P4/mmm, No. 123
energy above the lowest structure with this stoichiometry = 0.676 eV per atom
ΔE_f (raw) = 26.3 kcal/mol of atoms

***

Record 2
A relaxed Pm7Mg2Ir2 crystal. Source: Alexandria via LeMat-Bulk, functional PBE.

Unit cell a=7.001 b=7.431 c=7.001 alpha=90.00 beta=106.79 gamma=90.00
Fractional positions:
Pm1 0.000 0.246 0.500
Pm2 0.500 0.754 0.000
Pm3 0.000 0.754 0.500
Pm4 0.500 0.246 0.000
Pm5 0.000 0.000 0.000
Pm6 0.500 0.762 0.500
Pm7 0.500 0.238 0.500
Mg1 0.827 0.500 0.827
Mg2 0.173 0.500 0.173
Ir1 0.714 0.000 0.286
Ir2 0.286 0.000 0.714

space group = Cmmm, No. 65
energy above the lowest structure with this stoichiometry = 0.031 eV per atom
ΔE_f = -240 meV/atom

***

Record 3
A relaxed RbPAu crystal. Source: Alexandria via LeMat-Bulk, functional PBE.

Unit cell a=5.551 b=4.179 c=4.179 alpha=120.00 beta=90.00 gamma=90.00
Fractional positions:
P1 0.166 0.667 0.333
Au1 0.167 0.000 0.000
Rb1 0.667 0.333 0.667

space group = P-6m2, No. 187
energy above the lowest structure with this stoichiometry = 0.000 eV per atom
ΔE_f = -319 meV/atom

***

Record 4
A relaxed TbY2Er3Te6 crystal. Source: Alexandria via LeMat-Bulk, functional PBE.

Unit cell a=4.324 b=8.732 c=9.724 alpha=103.38 beta=102.85 gamma=90.00
Fractional positions:
Tb1 0.500 0.000 0.000
Y1 0.834 0.668 0.668
Y2 0.166 0.332 0.332
Er1 0.500 0.500 0.000
Er2 0.834 0.167 0.667
Er3 0.166 0.833 0.333
Te1 0.332 0.919 0.664
Te2 0.666 0.585 0.332
Te3 0.668 0.081 0.336
Te4 0.999 0.253 0.998
Te5 0.001 0.747 0.002
Te6 0.334 0.415 0.668

space group = C2/m, No. 12
ΔE_f (raw) = -29.1 kcal/mol of atoms

***

Record 5
A relaxed MoAsC3 crystal. Source: Alexandria via LeMat-Bulk, functional PBE.

Unit cell a=3.838 b=3.838 c=3.838 alpha=90.00 beta=90.00 gamma=90.00
Fractional positions:
C1 0.000 0.500 0.000
C2 0.000 0.000 0.500
C3 0.500 0.000 0.000
Mo1 0.500 0.500 0.500
As1 0.000 0.000 0.000

space group = Pm-3m, No. 221
energy above the lowest structure with this stoichiometry = 0.493 eV per atom
ΔE_f = 2647 meV/atom

***

Record 6
A relaxed ZnCoAg2 crystal. Source: Alexandria via LeMat-Bulk, functional PBE.

Unit cell a=5.348 b=5.348 c=5.348 alpha=148.90 beta=128.69 gamma=61.22
Last column: magnetic moment on the atom in μB.
Fractional positions:
Ag1 0.012 0.012 0.000  0.00
Ag2 0.738 0.238 0.500  -0.01
Co1 0.486 0.486 0.000  1.55
Zn1 0.264 0.764 0.500  -0.02

space group = Imm2, No. 44
ΔE_f = 226 meV/atom

***

Record 7
A relaxed SrZr2Se crystal. Source: Alexandria via LeMat-Bulk, functional PBE.

Unit cell a=4.216 b=4.216 c=6.097 alpha=90.00 beta=90.00 gamma=90.00
Fractional positions:
Se1 0.500 0.000 0.500
Sr1 0.000 0.500 0.500
Zr1 0.000 0.000 0.000
Zr2 0.500 0.500 0.000

space group = P4/mmm, No. 123
ΔE_f (raw) = -1.4 kcal/mol of atoms

***

Record 8
A relaxed Er3Al3CoHg2 crystal. Source: Alexandria via LeMat-Bulk, functional PBE.

Unit cell a=4.117 b=7.240 c=7.240 alpha=120.00 beta=90.00 gamma=90.00
Fractional positions:
Er1 0.000 0.000 0.385
Er2 0.000 0.615 0.615
Er3 0.000 0.385 0.000
Al1 0.500 0.781 0.000
Al2 0.500 0.219 0.219
Al3 0.500 0.000 0.781
Co1 0.000 0.000 0.000
Hg1 0.500 0.333 0.667
Hg2 0.500 0.667 0.333

space group = P-62m, No. 189
ΔE_f = -488 meV/atom

***

Record 9
A relaxed BaCaOsAu2 crystal. Source: Alexandria via LeMat-Bulk, functional PBE.

Unit cell a=5.450 b=5.268 c=5.450 alpha=90.00 beta=90.00 gamma=90.00
Last column: magnetic moment on the atom in μB.
Fractional positions:
Os1 0.000 0.500 0.000  1.85
Ca1 0.000 0.000 0.000  -0.01
Au1 0.000 0.000 0.500  0.04
Au2 0.500 0.000 0.000  0.03
Ba1 0.500 0.500 0.500  -0.03

space group = P4/mmm, No. 123
ΔE_f = 642 meV/atom

***

Record 10
A relaxed La4Ho2ErTm crystal. Source: Alexandria via LeMat-Bulk, functional PBE.

Unit cell a=5.252 b=5.230 c=11.127 alpha=61.96 beta=90.00 gamma=90.00
Fractional positions:
La1 0.000 0.751 0.750
La2 0.000 0.249 0.250
La3 0.500 0.749 0.250
La4 0.500 0.251 0.750
Ho1 0.000 0.000 0.000
Ho2 0.500 0.000 0.500
Er1 0.500 0.500 0.000
Tm1 0.000 0.500 0.500

space group = Pmmm, No. 47
ΔE_f = 23 meV/atom

***

Record 11
A relaxed CsCrAuS2 crystal. Source: Alexandria via LeMat-Bulk, functional PBE.

Unit cell a=5.686 b=6.448 c=7.952 alpha=113.92 beta=90.00 gamma=90.00
Last column: magnetic moment on the atom in μB.
Fractional positions:
Cs1 0.216 0.750 0.500  0.01
Cs2 0.784 0.250 0.500  0.01
Cr1 0.500 0.750 0.000  3.46
Cr2 0.500 0.250 0.000  3.46
Au1 0.000 0.000 0.000  0.06
Au2 0.000 0.500 0.000  0.06
S1 0.680 0.897 0.795  -0.03
S2 0.680 0.603 0.205  -0.03
S3 0.320 0.397 0.795  -0.03
S4 0.320 0.103 0.205  -0.03

space group = Cmme, No. 67
ΔE_f (raw) = -14.3 kcal/mol of atoms

***

Record 12
A relaxed NaAc2Te3 crystal. Source: Alexandria via LeMat-Bulk, functional PBE.

Unit cell a=4.706 b=4.706 c=23.764 alpha=90.00 beta=90.00 gamma=120.00
Fractional positions:
Na1 0.000 0.000 0.250
Na2 0.000 0.000 0.750
Ac1 0.333 0.667 0.916
Ac2 0.667 0.333 0.084
Ac3 0.667 0.333 0.416
Ac4 0.333 0.667 0.584
Te1 0.000 0.000 0.000
Te2 0.333 0.667 0.164
Te3 0.333 0.667 0.336
Te4 0.000 0.000 0.500
Te5 0.667 0.333 0.664
Te6 0.667 0.333 0.836

space group = P6_3/mmc, No. 194
energy above the lowest structure with this stoichiometry = 0.000 eV per atom
ΔE_f (raw) = -32.4 kcal/mol of atoms

***

Record 13
A relaxed CsK4Bi4 crystal. Source: Alexandria via LeMat-Bulk, functional PBE.

Unit cell a=7.189 b=11.604 c=11.604 alpha=90.00 beta=90.00 gamma=90.00
Last column: magnetic moment on the atom in μB.
Fractional positions:
Cs1 0.000 0.000 0.000  0.01
Cs2 0.500 0.500 0.500  0.01
K1 0.366 0.345 0.889  0.00
K2 0.866 0.611 0.845  0.00
K3 0.366 0.655 0.111  0.00
K4 0.134 0.155 0.611  0.00
K5 0.634 0.889 0.655  0.00
K6 0.134 0.845 0.389  0.00
K7 0.866 0.389 0.155  0.00
K8 0.634 0.111 0.345  0.00
Bi1 0.637 0.793 0.345  0.14
Bi2 0.637 0.207 0.655  0.14
Bi3 0.137 0.845 0.707  0.14
Bi4 0.863 0.293 0.845  0.14
Bi5 0.863 0.707 0.155  0.14
Bi6 0.363 0.345 0.207  0.14
Bi7 0.363 0.655 0.793  0.14
Bi8 0.137 0.155 0.293  0.14

space group = P4_2/n, No. 86
ΔE_f = -220 meV/atom

***

Record 14
A relaxed Na2SeCl4 crystal. Source: Alexandria via LeMat-Bulk, functional PBE.

Unit cell a=6.948 b=6.948 c=6.191 alpha=124.13 beta=124.13 gamma=90.00
Fractional positions:
Na1 0.750 0.250 0.500
Na2 0.250 0.750 0.500
Se1 0.500 0.500 0.000
Cl1 0.750 0.251 0.001
Cl2 0.251 0.750 0.001
Cl3 0.749 0.749 0.999
Cl4 0.250 0.250 0.999

space group = I4/mmm, No. 139
ΔE_f (raw) = -24.8 kcal/mol of atoms

***

Record 15
A relaxed Eu2ErCu crystal. Source: Alexandria via LeMat-Bulk, functional PBE.

Unit cell a=3.625 b=3.625 c=11.327 alpha=80.79 beta=80.79 gamma=60.00
Last column: magnetic moment on the atom in μB.
Fractional positions:
Eu1 0.103 0.103 0.691  7.00
Eu2 0.897 0.897 0.309  7.00
Cu1 0.500 0.500 0.500  0.00
Er1 0.000 0.000 0.000  0.22

space group = R-3m, No. 166
energy above the lowest structure with this stoichiometry = 0.253 eV per atom
ΔE_f = 290 meV/atom

***

Record 16
A relaxed BeRe2As crystal. Source: Alexandria via LeMat-Bulk, functional PBE.

Unit cell a=4.525 b=4.525 c=4.391 alpha=74.27 beta=74.27 gamma=38.75
Fractional positions:
Re1 0.988 0.988 0.062
Re2 0.752 0.752 0.724
As1 0.510 0.510 0.505
Be1 0.250 0.250 0.209

space group = Cm, No. 8
energy above the lowest structure with this stoichiometry = 0.211 eV per atom
ΔE_f = 173 meV/atom

***

Record 17
A relaxed LaPrTmGa crystal. Source: Alexandria via LeMat-Bulk, functional PBE.

Unit cell a=5.473 b=5.473 c=5.473 alpha=60.00 beta=60.00 gamma=60.00
Fractional positions:
Pr1 0.000 0.000 0.000
Tm1 0.750 0.750 0.750
Ga1 0.250 0.250 0.250
La1 0.500 0.500 0.500

space group = F-43m, No. 216
ΔE_f = -123 meV/atom

***

Record 18
A relaxed ReN crystal. Source: Alexandria via LeMat-Bulk, functional PBE.

Unit cell a=4.483 b=2.843 c=6.963 alpha=90.00 beta=103.06 gamma=90.00
Fractional positions:
Re1 0.588 0.000 0.008
Re2 0.588 0.500 0.508
Re3 0.123 0.000 0.659
Re4 0.123 0.500 0.159
N1 0.491 0.000 0.280
N2 0.491 0.500 0.780
N3 0.006 0.000 0.939
N4 0.006 0.500 0.439

space group = Cm, No. 8
energy above the lowest structure with this stoichiometry = 0.144 eV per atom
ΔE_f (raw) = 4.3 kcal/mol of atoms

***

Record 19
A relaxed InTcTe2 crystal. Source: Alexandria via LeMat-Bulk, functional PBE.

Unit cell a=10.026 b=10.026 c=10.026 alpha=161.24 beta=161.04 gamma=26.80
Fractional positions:
In1 0.440 0.440 0.000
Tc1 0.199 0.699 0.500
Te1 0.090 0.090 0.000
Te2 0.772 0.272 0.500

space group = Imm2, No. 44
ΔE_f (raw) = 1.3 kcal/mol of atoms

***

Record 20
A relaxed TlCrCu2Cl6 crystal. Source: Alexandria via LeMat-Bulk, functional PBE.

Unit cell a=7.484 b=9.059 c=9.059 alpha=82.43 beta=72.16 gamma=72.16
Last column: magnetic moment on the atom in μB.
Fractional positions:
Tl1 0.250 0.806 0.194  0.00
Tl2 0.750 0.194 0.806  0.00
Cr1 0.250 0.178 0.822  3.10
Cr2 0.750 0.822 0.178  3.10
Cu1 0.325 0.727 0.646  -0.16
Cu2 0.175 0.354 0.273  -0.16
Cu3 0.675 0.273 0.354  -0.16
Cu4 0.825 0.646 0.727  -0.16
Cl1 0.199 0.942 0.823  -0.02
Cl2 0.301 0.177 0.058  -0.02
Cl3 0.801 0.058 0.177  -0.02
Cl4 0.699 0.823 0.942  -0.02
Cl5 0.516 0.827 0.407  -0.02
Cl6 0.984 0.593 0.173  -0.02
Cl7 0.484 0.173 0.593  -0.02
Cl8 0.016 0.407 0.827  -0.02
Cl9 0.059 0.745 0.569  -0.02
Cl10 0.441 0.431 0.255  -0.02
Cl11 0.941 0.255 0.431  -0.02
Cl12 0.559 0.569 0.745  -0.02

space group = C2/c, No. 15
ΔE_f (raw) = -16.4 kcal/mol of atoms